# ZrFePO2

A relaxed structure of ZrFePO2 (PBE with a Hubbard U, Alexandria via LeMat-Bulk).

Cell lengths 4.0314, 4.0314, 5.5655 Å; angles 90.00, 90.00, 90.00 degrees
Fractional coordinates of all 5 atoms:
O1 0.0000 0.5000 0.0000
O2 0.5000 0.0000 0.0000
P1 0.0000 0.0000 0.5000
Fe1 0.5000 0.5000 0.5000
Zr1 0.0000 0.0000 0.0000

Summary:
N(E_F) ... 2.880 states/eV per cell
Magnetization ... 4.08 μB/cell
Energy relative to the lowest polymorph listed for this composition ... 0 meV per atom
Space-group type ... P4/mmm, No. 123